[1]
LiY2Sb, optimized geometry, DFT PBE-GGA; ΔE_f (raw) = -0.54 eV per atom; Fermi-level density of states = 3.5 states/eV per cell; SG = Cmmm (65)
1.0
8.1156 -0.0019 -0.0037
-2.9666 3.9169 -0.0037
2.1823 1.6539 3.1909
Li Y Sb
1 2 1
Cartesian
-0.3922 2.7854 1.5936
5.1490 0.8260 1.5936
0.0000 0.0000 0.0000
2.5745 1.9575 -0.0037


[2]
CoBr, optimized geometry, DFT PBE-GGA; ΔE_f (raw) = 1.07 eV per atom; Fermi-level density of states = 6.4 states/eV per cell; SG = Fd-3m (227)
1.0
4.7098 0.0000 0.0000
2.3549 4.0788 0.0000
2.3549 1.3596 3.8455
Co Br
2 2
Cartesian
4.7098 2.7192 1.9228
7.0647 4.0788 2.8841
0.0000 0.0000 0.0000
2.3549 1.3596 0.9614